No. 1
The following is a GGA-PBE calculation of an optimized crystal structure of NaLaV3, from Alexandria.

Cell lengths 5.044, 5.044, 5.044 Å; angles 90.00, 90.00, 90.00 degrees
Each line ends with the local moment (μB).
Sites, in units of the cell vectors:
Na1 0.000 0.000 0.000  0.11
La1 0.500 0.500 0.500  0.28
V1 0.000 0.500 0.000  2.89
V2 0.000 0.000 0.500  2.89
V3 0.500 0.000 0.000  2.89

Values from the calculation:
E above lowest polymorph (eV per atom): 0.000
Formation energy (meV/atom): 1615.4
E_tot (eV/atom): -5.11
Space group: Pm-3m

***

No. 2
The following is a GGA-PBE calculation of an optimized crystal structure of CaSb3Au3, from Alexandria.

Cell lengths 7.593, 7.593, 7.593 Å; angles 90.00, 90.00, 90.00 degrees
Sites, in units of the cell vectors:
Sb1 0.250 0.000 0.500
Sb2 0.000 0.500 0.250
Sb3 0.500 0.750 0.000
Sb4 0.750 0.000 0.500
Sb5 0.000 0.500 0.750
Sb6 0.500 0.250 0.000
Ca1 0.500 0.500 0.500
Ca2 0.000 0.000 0.000
Au1 0.000 0.250 0.500
Au2 0.000 0.750 0.500
Au3 0.500 0.000 0.750
Au4 0.750 0.500 0.000
Au5 0.500 0.000 0.250
Au6 0.250 0.500 0.000

Values from the calculation:
Formation energy without anion corrections (meV per atom): -76
E_tot (eV/atom): -3.53
Space group: Pm-3n

***

No. 3
The following is a GGA-PBE calculation of an optimized crystal structure of Sr2PaTcO8, from Alexandria.

Cell lengths 5.330, 5.325, 6.794 Å; angles 90.00, 90.00, 91.75 degrees
Sites, in units of the cell vectors:
Sr1 0.500 0.500 0.758
Sr2 0.500 0.500 0.242
Pa1 0.000 0.000 0.500
Tc1 0.000 0.000 0.000
O1 0.169 0.831 0.217
O2 0.752 0.752 0.000
O3 0.831 0.169 0.217
O4 0.831 0.169 0.783
O5 0.248 0.248 0.000
O6 0.169 0.831 0.783
O7 0.729 0.729 0.500
O8 0.271 0.271 0.500

Values from the calculation:
Formation energy without anion corrections (meV per atom): -2480
E_tot (eV/atom): -7.72
Space group: Cmmm

***

No. 4
The following is a GGA-PBE calculation of an optimized crystal structure of TaSiF, from Alexandria.

Cell lengths 7.279, 3.108, 8.898 Å; angles 90.00, 119.25, 90.00 degrees
Sites, in units of the cell vectors:
Si1 0.918 0.000 0.622
Si2 0.082 0.000 0.378
Si3 0.918 0.500 0.122
Si4 0.082 0.500 0.878
F1 0.449 0.000 0.831
F2 0.551 0.000 0.169
F3 0.449 0.500 0.331
F4 0.551 0.500 0.669
Ta1 0.772 0.000 0.845
Ta2 0.228 0.000 0.155
Ta3 0.772 0.500 0.345
Ta4 0.228 0.500 0.655

Values from the calculation:
E above lowest polymorph (eV per atom): 0.000
Formation energy without anion corrections (meV per atom): -1261
E_tot (eV/atom): -7.64
Space group: C2/m